Entry 1:
Here is an optimized crystal structure of PuAg2SbO6 from Alexandria. Energies are from GGA-PBE.

Summary:
The calculation puts the total energy at -67.43 eV per cell. Its space group is No. 99. As for the uncorrected formation energy: -1352 meV per atom.

abc: 5.837 5.837 4.109
angles: 90.00 90.00 90.00
Element x y z (fractional)
Pu (0.000, 0.000, 0.000)
Ag (0.000, 0.500, 0.498)
Ag (0.500, 0.000, 0.498)
Sb (0.500, 0.500, 0.000)
O (0.000, 0.000, 0.500)
O (0.259, 0.259, 0.000)
O (0.259, 0.741, 0.000)
O (0.500, 0.500, 0.500)
O (0.741, 0.259, 0.000)
O (0.741, 0.741, 0.000)



Entry 2:
Here is an optimized crystal structure of YCl from Alexandria. Energies are from GGA-PBE.

Summary:
The calculation puts the total energy at -10.33 eV per cell. Its space group is No. 225. As for the uncorrected formation energy: -1011 meV per atom.

abc: 3.981 3.981 3.981
angles: 60.00 60.00 60.00
Element x y z (fractional)
Y (0.000, 0.000, 0.000)
Cl (0.500, 0.500, 0.500)



Entry 3:
Here is an optimized crystal structure of KBeCr2 from Alexandria. Energies are from GGA-PBE.

Summary:
The calculation puts the total energy at -21.38 eV per cell. The energy relative to the elements comes out at 2.7 eV/f.u. Its space group is No. 99.

abc: 3.024 3.024 7.867
angles: 90.00 90.00 90.00
Element x y z (fractional)
K (0.000, 0.000, 0.000)
Be (0.500, 0.500, 0.666)
Cr (0.000, 0.000, 0.526)
Cr (0.500, 0.500, 0.370)



Entry 4:
Here is an optimized crystal structure of Ce12IrPb6 from Alexandria. Energies are from GGA-PBE.

Summary:
The calculation puts the total energy at -106.01 eV per cell. The energy relative to the elements comes out at -3.7 eV/f.u. Its space group is No. 148.

abc: 8.405 8.405 8.405
angles: 94.97 94.97 94.97
Element x y z (fractional)
Ce (0.036, 0.069, 0.341)
Ce (0.069, 0.341, 0.036)
Ce (0.257, 0.458, 0.588)
Ce (0.341, 0.036, 0.069)
Ce (0.412, 0.743, 0.542)
Ce (0.458, 0.588, 0.257)
Ce (0.542, 0.412, 0.743)
Ce (0.588, 0.257, 0.458)
Ce (0.659, 0.964, 0.931)
Ce (0.743, 0.542, 0.412)
Ce (0.931, 0.659, 0.964)
Ce (0.964, 0.931, 0.659)
Ir (0.000, 0.000, 0.000)
Pb (0.089, 0.680, 0.323)
Pb (0.320, 0.677, 0.911)
Pb (0.323, 0.089, 0.680)
Pb (0.677, 0.911, 0.320)
Pb (0.680, 0.323, 0.089)
Pb (0.911, 0.320, 0.677)